## ErTmBeZn (PBE)

Data for a geometry-optimized ErTmBeZn structure.

```
4
Lattice="4.8856 0.0000 0.0000 2.4428 4.2311 0.0000 2.4428 1.4104 3.9891" Properties=species:S:1:pos:R:3 pbc="T T T"
Be 4.8856 2.8207 1.9945
Zn 0.0000 0.0000 0.0000
Tm 7.3284 4.2311 2.9918
Er 2.4428 1.4104 0.9973
```

Computed properties:
VASP energy, eV per cell: -14.5
ΔH_f (0 K), kcal/mol of atoms: -2.94
V, A^3/atom: 20.6
Symmetry: F-43m (216)

## ErBe4V (PBE)

Data for a geometry-optimized ErBe4V structure.

```
6
Lattice="-3.0785 -1.2305 -3.3646 -3.7052 -2.7266 1.0717 -4.3555 1.8278 0.0010" Properties=species:S:1:pos:R:3 pbc="T T T"
Be -4.8006 -2.2202 -1.4270
Be -5.1190 0.0097 -1.9512
Be -6.9331 -1.3253 -1.4265
Be -5.4258 -0.7228 0.2209
V -2.7848 -0.5323 -0.5730
Er 0.0000 0.0000 0.0000
```

Computed properties:
VASP energy, eV per cell: -28.4
ΔH_f (0 K), kcal/mol of atoms: 0.62
V, A^3/atom: 12.4
Symmetry: F-43m (216)

## YErBe (PBE)

Data for a geometry-optimized YErBe structure.

```
3
Lattice="-3.1206 -1.1986 0.8514 0.1960 -2.3190 -2.5462 3.9953 -2.1614 4.6128" Properties=species:S:1:pos:R:3 pbc="T T T"
Y 0.1535 -0.2376 0.2282
Be -0.6054 -3.0849 0.4264
Er 1.5227 -2.3565 2.2634
```

Computed properties:
VASP energy, eV per cell: -14.5
ΔH_f (0 K), kcal/mol of atoms: 1.63
V, A^3/atom: 23.8
Symmetry: I4mm (107)
Relative energy among the computed polymorphs, meV per atom: 15.3